--- P ---
ZrGa2Sn2 | PBE-GGA | optimized geometry

a = 7.676 Å, b = 7.676 Å, c = 3.818 Å
α = 90.00°, β = 90.00°, γ = 90.00°
Space group P4/mbm (No. 127)
Asymmetric unit:
Zr 0.000 0.000 0.000
Ga 0.164 0.336 0.500
Sn 0.138 0.638 0.000

***

--- Q ---
ZrGa2Sn2 | PBE-GGA | optimized geometry

a = 7.420 Å, b = 7.420 Å, c = 3.908 Å
α = 90.00°, β = 90.00°, γ = 90.00°
Space group P4/mbm (No. 127)
Asymmetric unit:
Zr 0.000 0.000 0.000
Ga 0.129 0.371 0.000
Sn 0.170 0.670 0.500

***

Q is the most stable structure; the next one sits 0.134 eV/atom above it.

***

--- P ---
Sr4Ga | PBE-GGA | optimized geometry

a = 16.696 Å, b = 15.343 Å, c = 12.357 Å
α = 90.00°, β = 120.48°, γ = 90.00°
Space group C2/c (No. 15)
Asymmetric unit:
Sr 0.000 0.178 0.250
Sr 0.005 0.363 0.010
Sr 0.045 0.113 0.945
Sr 0.141 0.484 0.843
Sr 0.199 0.027 0.303
Sr 0.208 0.230 0.795
Sr 0.250 0.250 0.500
Ga 0.000 0.296 0.750
Ga 0.146 0.082 0.534

***

--- Q ---
Sr4Ga | PBE-GGA | optimized geometry

a = 6.318 Å, b = 6.318 Å, c = 6.318 Å
α = 90.00°, β = 90.00°, γ = 90.00°
Space group Pm-3m (No. 221)
Asymmetric unit:
Sr 0.000 0.000 0.000
Sr 0.000 0.500 0.500
Ga 0.500 0.500 0.500

***

P is the most stable structure; the next one sits 0.044 eV/atom above it.